The following is a GGA-PBE calculation of a relaxed structure of LaTbDyTh, from Alexandria.

Structure (CIF):
```
data_LaTbDyTh
_cell_length_a 3.6131
_cell_length_b 3.6131
_cell_length_c 10.1657
_cell_angle_alpha 90.00
_cell_angle_beta 90.00
_cell_angle_gamma 90.00
_symmetry_space_group_name_H-M 'P 4 m m'
_symmetry_Int_Tables_number 99
loop_
_symmetry_equiv_pos_as_xyz
'x,y,z'
'-y,x,z'
'-x,-y,z'
'y,-x,z'
'-x,y,z'
'y,x,z'
'x,-y,z'
'-y,-x,z'
loop_
_atom_site_label
_atom_site_type_symbol
_atom_site_fract_x
_atom_site_fract_y
_atom_site_fract_z
_atom_site_occupancy
La1 La 0.0000 0.0000 0.0000 1
Tb1 Tb 0.5000 0.5000 0.2641 1
Dy1 Dy 0.5000 0.5000 0.7375 1
Th1 Th 0.0000 0.0000 0.5014 1
```

Values from the calculation:
Formation enthalpy at 0 K: 0.018 eV per atom
Final energy: -0.198 hartree per atom
Relative energy among the computed polymorphs: 0 meV per atom